# 1
Density functional theory data (PBE) for a relaxed BaAl2Cu crystal.

Geometry as CIF:
```
data_BaAl2Cu
_chemical_formula_sum 'Ba2 Al4 Cu2'
_space_group_name_H-M_alt 'I m m m'
_space_group_IT_number 71
_space_group_name_Hall '-I 2 2'
_cell_length_a 3.190
_cell_length_b 5.530
_cell_length_c 10.492
_cell_angle_alpha 90.00
_cell_angle_beta 90.00
_cell_angle_gamma 90.00
loop_
_atom_site_label
_atom_site_type_symbol
_atom_site_fract_x
_atom_site_fract_y
_atom_site_fract_z
Ba1 Ba 0.000 0.000 0.000
Al1 Al 0.000 0.500 0.202
Cu1 Cu 0.000 0.000 0.500
```

The calculation puts the magnetization at 0.0 μB per formula unit. The crystal system is orthorhombic. The value obtained for the theoretical density is 4.57 g/cm3.

# 2
Density functional theory data (PBE) for a relaxed BaAlCu2 crystal.

Geometry as CIF:
```
data_BaAlCu2
_chemical_formula_sum 'Ba1 Al1 Cu2'
_space_group_name_H-M_alt 'P 1 2/m 1'
_space_group_IT_number 10
_cell_length_a 3.317
_cell_length_b 4.176
_cell_length_c 6.603
_cell_angle_alpha 90.00
_cell_angle_beta 100.06
_cell_angle_gamma 90.00
loop_
_space_group_symop_operation_xyz
'x,y,z'
'-x,-y,-z'
'-x,y,-z'
'x,-y,z'
loop_
_atom_site_label
_atom_site_type_symbol
_atom_site_fract_x
_atom_site_fract_y
_atom_site_fract_z
Ba1 Ba 0.000 0.000 0.000
Al1 Al 0.500 0.000 0.500
Cu1 Cu 0.292 0.500 0.649
```

The calculation puts the magnetization at 0.0 μB per formula unit. The crystal system is monoclinic. The value obtained for the theoretical density is 5.37 g/cm3.

# 3
Density functional theory data (PBE) for a relaxed BaAl2Cu crystal.

Geometry as CIF:
```
data_BaAl2Cu
_chemical_formula_sum 'Ba1 Al2 Cu1'
_space_group_name_H-M_alt 'P m m m'
_space_group_IT_number 47
_cell_length_a 4.340
_cell_length_b 4.391
_cell_length_c 5.134
_cell_angle_alpha 90.00
_cell_angle_beta 90.00
_cell_angle_gamma 90.00
loop_
_space_group_symop_operation_xyz
'x,y,z'
'-x,-y,-z'
'-x,-y,z'
'x,y,-z'
'x,-y,-z'
'-x,y,z'
'-x,y,-z'
'x,-y,z'
loop_
_atom_site_label
_atom_site_type_symbol
_atom_site_fract_x
_atom_site_fract_y
_atom_site_fract_z
Ba1 Ba 0.000 0.000 0.000
Al1 Al 0.000 0.500 0.500
Al2 Al 0.500 0.000 0.500
Cu1 Cu 0.500 0.500 0.000
```

The calculation puts the magnetization at 0.0 μB per formula unit. The crystal system is orthorhombic. The value obtained for the theoretical density is 4.33 g/cm3.

# 4
Density functional theory data (PBE) for a relaxed BaAl2Cu3 crystal.

Geometry as CIF:
```
data_BaAl2Cu3
_chemical_formula_sum 'Ba4 Al8 Cu12'
_space_group_name_H-M_alt 'C m c m'
_space_group_IT_number 63
_space_group_name_Hall '-C 2c 2'
_cell_length_a 10.587
_cell_length_b 8.111
_cell_length_c 5.357
_cell_angle_alpha 90.00
_cell_angle_beta 90.00
_cell_angle_gamma 90.00
loop_
_atom_site_label
_atom_site_type_symbol
_atom_site_fract_x
_atom_site_fract_y
_atom_site_fract_z
Ba1 Ba 0.000 0.167 0.250
Al1 Al 0.197 0.500 0.000
Cu1 Cu 0.000 0.423 0.750
Cu2 Cu 0.199 0.229 0.750
```

The calculation puts the magnetization at 0.0 μB per formula unit. The crystal system is orthorhombic. The value obtained for the theoretical density is 5.51 g/cm3.

# 5
Density functional theory data (PBE) for a relaxed BaAl4Cu crystal.

Geometry as CIF:
```
data_BaAl4Cu
_chemical_formula_sum 'Ba4 Al16 Cu4'
_space_group_name_H-M_alt 'F -4 3 m'
_space_group_IT_number 216
_space_group_name_Hall 'F -4 2 3'
_cell_length_a 8.071
_cell_length_b 8.071
_cell_length_c 8.071
_cell_angle_alpha 90.00
_cell_angle_beta 90.00
_cell_angle_gamma 90.00
loop_
_atom_site_label
_atom_site_type_symbol
_atom_site_fract_x
_atom_site_fract_y
_atom_site_fract_z
Ba1 Ba 0.000 0.000 0.000
Al1 Al 0.125 0.125 0.375
Cu1 Cu 0.250 0.250 0.750
```

The calculation puts the magnetization at 0.0 μB per formula unit. The crystal system is cubic. The value obtained for the theoretical density is 3.90 g/cm3.

# 6
Density functional theory data (PBE) for a relaxed BaAlCu2 crystal.

Geometry as CIF:
```
data_BaAlCu2
_chemical_formula_sum 'Ba2 Al2 Cu4'
_space_group_name_H-M_alt 'I -4 m 2'
_space_group_IT_number 119
_space_group_name_Hall 'I -4 -2'
_cell_length_a 4.712
_cell_length_b 4.712
_cell_length_c 8.076
_cell_angle_alpha 90.00
_cell_angle_beta 90.00
_cell_angle_gamma 90.00
loop_
_atom_site_label
_atom_site_type_symbol
_atom_site_fract_x
_atom_site_fract_y
_atom_site_fract_z
Ba1 Ba 0.000 0.000 0.000
Al1 Al 0.000 0.500 0.250
Cu1 Cu 0.000 0.000 0.500
Cu2 Cu 0.000 0.500 0.750
```

The calculation puts the magnetization at 0.0 μB per formula unit. The crystal system is tetragonal. The value obtained for the theoretical density is 5.40 g/cm3.

# 7
Density functional theory data (PBE) for a relaxed BaAl3Cu crystal.

Geometry as CIF:
```
data_BaAl3Cu
_chemical_formula_sum 'Ba2 Al6 Cu2'
_space_group_name_H-M_alt 'P 63/m m c'
_space_group_IT_number 194
_space_group_name_Hall '-P 6c 2c'
_cell_length_a 6.7007
_cell_length_b 6.7007
_cell_length_c 5.6236
_cell_angle_alpha 90.00
_cell_angle_beta 90.00
_cell_angle_gamma 120.00
loop_
_atom_site_label
_atom_site_type_symbol
_atom_site_fract_x
_atom_site_fract_y
_atom_site_fract_z
Ba1 Ba 0.3333 0.6667 0.2500
Al1 Al 0.1799 0.3598 0.7500
Cu1 Cu 0.0000 0.0000 0.0000
```

The calculation puts the magnetization at 0.0 μB per formula unit. The crystal system is hexagonal. The value obtained for the theoretical density is 4.28 g/cm3.

# 8
Density functional theory data (PBE) for a relaxed BaAl3Cu3 crystal.

Geometry as CIF:
```
data_BaAl3Cu3
_chemical_formula_sum 'Ba6 Al18 Cu18'
_space_group_name_H-M_alt 'R -3'
_space_group_IT_number 148
_space_group_name_Hall '-R 3'
_cell_length_a 6.4825
_cell_length_b 6.4825
_cell_length_c 23.7109
_cell_angle_alpha 90.00
_cell_angle_beta 90.00
_cell_angle_gamma 120.00
loop_
_atom_site_label
_atom_site_type_symbol
_atom_site_fract_x
_atom_site_fract_y
_atom_site_fract_z
Ba1 Ba 0.0000 0.0000 0.1614
Al1 Al 0.0378 0.5947 0.3716
Cu1 Cu 0.0178 0.7896 0.5969
```

The calculation puts the magnetization at 0.0 μB per formula unit. The crystal system is trigonal. The value obtained for the theoretical density is 4.72 g/cm3.

# 9
Density functional theory data (PBE) for a relaxed BaAl2Cu crystal.

Geometry as CIF:
```
data_BaAl2Cu
_chemical_formula_sum 'Ba1 Al2 Cu1'
_space_group_name_H-M_alt 'P 1 2/m 1'
_space_group_IT_number 10
_cell_length_a 4.692
_cell_length_b 4.366
_cell_length_c 5.379
_cell_angle_alpha 90.00
_cell_angle_beta 108.40
_cell_angle_gamma 90.00
loop_
_space_group_symop_operation_xyz
'x,y,z'
'-x,-y,-z'
'-x,y,-z'
'x,-y,z'
loop_
_atom_site_label
_atom_site_type_symbol
_atom_site_fract_x
_atom_site_fract_y
_atom_site_fract_z
Ba1 Ba 0.000 0.000 0.000
Al1 Al 0.300 0.500 0.620
Cu1 Cu 0.500 0.000 0.500
```

The calculation puts the magnetization at 0.0 μB per formula unit. The crystal system is monoclinic. The value obtained for the theoretical density is 4.05 g/cm3.

# 10
Density functional theory data (PBE) for a relaxed BaAlCu crystal.

Geometry as CIF:
```
data_BaAlCu
_chemical_formula_sum 'Ba4 Al4 Cu4'
_space_group_name_H-M_alt 'F -4 3 m'
_space_group_IT_number 216
_space_group_name_Hall 'F -4 2 3'
_cell_length_a 7.065
_cell_length_b 7.065
_cell_length_c 7.065
_cell_angle_alpha 90.00
_cell_angle_beta 90.00
_cell_angle_gamma 90.00
loop_
_atom_site_label
_atom_site_type_symbol
_atom_site_fract_x
_atom_site_fract_y
_atom_site_fract_z
Ba1 Ba 0.000 0.000 0.000
Al1 Al 0.000 0.000 0.500
Cu1 Cu 0.250 0.250 0.750
```

The calculation puts the magnetization at 0.1 μB per formula unit. The crystal system is cubic. The value obtained for the theoretical density is 4.29 g/cm3.

no.,uncorrected energy (eV per atom)
1,-3.2221
2,-3.3632
3,-3.0868
4,-3.8505
5,-3.3103
6,-3.0793
7,-3.5213
8,-3.6848
9,-3.4524
10,-3.0343